Model a:
Pr4Dy3Ho4 | PBE | relaxed

Properties
As for the calculated density: 7.60 g/cm³. The volume is 373.97 Å³/cell.

a = 12.0577 Å, b = 12.0577 Å, c = 12.0577 Å
α = 162.78°, β = 133.77°, γ = 49.69°
With the nearest neighbours (Å) after each atom.
Fractional positions:
1 Pr 0.0333 0.8550 0.1783  3 Pr 3.38-3.61, 4 Ho 3.44-3.67, 2 Dy 3.64
2 Pr 0.3232 0.1450 0.1783  3 Pr 3.38-3.61, 4 Ho 3.44-3.67, 2 Dy 3.64
3 Pr 0.6768 0.8550 0.8217  3 Pr 3.38-3.61, 4 Ho 3.44-3.67, 2 Dy 3.64
4 Pr 0.9667 0.1450 0.8217  3 Pr 3.38-3.61, 4 Ho 3.44-3.67, 2 Dy 3.64
5 Dy 0.0000 0.5000 0.5000  4 Ho 3.51, 2 Dy 3.61
6 Dy 0.3935 0.3935 0.0000  6 Ho 3.41-3.42, 2 Dy 3.61, 4 Pr 3.64
7 Dy 0.6065 0.6065 0.0000  6 Ho 3.41-3.42, 2 Dy 3.61, 4 Pr 3.64
8 Ho 0.2612 0.7612 0.5000  2 Dy 3.41, 6 Pr 3.55-3.67, 2 Ho 3.61
9 Ho 0.3175 0.0000 0.3175  6 Dy 3.42-3.51, 2 Pr 3.44, 3 Ho 3.46-3.61
10 Ho 0.6825 0.0000 0.6825  6 Dy 3.42-3.51, 2 Pr 3.44, 3 Ho 3.46-3.61
11 Ho 0.7388 0.2388 0.5000  2 Dy 3.41, 6 Pr 3.55-3.67, 2 Ho 3.61

Model b:
Pr4Dy3Ho4 | PBE | relaxed

Properties
As for the calculated density: 7.69 g/cm³. The volume is 369.49 Å³/cell.

a = 10.7253 Å, b = 6.6772 Å, c = 6.6772 Å
α = 50.60°, β = 90.00°, γ = 90.00°
With the nearest neighbours (Å) after each atom.
Fractional positions:
1 Pr 0.0000 0.0000 0.0000  2 Ho 3.06, 2 Pr 3.33
2 Pr 0.2078 0.7951 0.7951  4 Ho 3.31-3.61, 2 Pr 3.33-3.48, 4 Dy 3.52-3.62
3 Pr 0.5000 0.9204 0.9204  3 Ho 3.30-3.42, 2 Pr 3.48, 4 Dy 3.68
4 Pr 0.7922 0.7951 0.7951  4 Ho 3.31-3.61, 2 Pr 3.33-3.48, 4 Dy 3.52-3.62
5 Dy 0.0000 0.2936 0.2936  7 Pr 3.54-3.79, 5 Ho 3.60-3.75, 2 Dy 3.62
6 Dy 0.2868 0.4510 0.4510  4 Ho 3.29-3.69, 4 Pr 3.52-3.68, 1 Dy 3.62
7 Dy 0.7132 0.4510 0.4510  4 Ho 3.29-3.69, 4 Pr 3.52-3.68, 1 Dy 3.62
8 Ho 0.0000 0.5921 0.5921  4 Pr 3.06-3.31
9 Ho 0.3039 0.1437 0.1437  4 Pr 3.42-3.69, 2 Ho 3.54, 4 Dy 3.69-3.73
10 Ho 0.5000 0.6472 0.6472  2 Dy 3.29, 3 Pr 3.30-3.61, 4 Ho 3.54
11 Ho 0.6961 0.1437 0.1437  4 Pr 3.42-3.69, 2 Ho 3.54, 4 Dy 3.69-3.73

model a is the most stable structure; the next one sits 2.7 kJ/mol of atoms above it.

Model a:
Pr5Dy2Ho3 | PBE | relaxed

Properties
As for the calculated density: 7.37 g/cm³. The volume is 687.00 Å³/cell.

a = 9.2027 Å, b = 9.2027 Å, c = 10.1016 Å
α = 108.21°, β = 108.21°, γ = 108.29°
With the nearest neighbours (Å) after each atom.
Fractional positions:
1 Pr 0.0215 0.9785 0.7500  3 Pr 3.13-3.43, 2 Ho 3.41, 2 Dy 3.48
2 Pr 0.1335 0.3735 0.7551  3 Ho 3.42-3.81, 3 Pr 3.43-3.53, 2 Dy 3.74-3.79
3 Pr 0.2313 0.7687 0.7500  3 Pr 3.13-3.48, 2 Dy 3.44
4 Pr 0.2717 0.7283 0.2500  3 Ho 3.08-3.43
5 Pr 0.3735 0.1335 0.2551  3 Ho 3.42-3.81, 3 Pr 3.43-3.53, 2 Dy 3.74-3.79
6 Pr 0.6265 0.8665 0.7449  3 Ho 3.42-3.81, 3 Pr 3.43-3.53, 2 Dy 3.74-3.79
7 Pr 0.7283 0.2717 0.7500  3 Ho 3.08-3.43
8 Pr 0.7687 0.2313 0.2500  3 Pr 3.13-3.48, 2 Dy 3.44
9 Pr 0.8665 0.6265 0.2449  3 Ho 3.42-3.81, 3 Pr 3.43-3.53, 2 Dy 3.74-3.79
10 Pr 0.9785 0.0215 0.2500  3 Pr 3.13-3.43, 2 Ho 3.41, 2 Dy 3.48
11 Dy 0.2241 0.4661 0.4414  3 Ho 3.28-3.49, 4 Pr 3.44-3.55
12 Dy 0.4661 0.2241 0.9414  3 Ho 3.28-3.49, 4 Pr 3.44-3.55
13 Dy 0.5339 0.7759 0.0586  3 Ho 3.28-3.49, 4 Pr 3.44-3.55
14 Dy 0.7759 0.5339 0.5586  3 Ho 3.28-3.49, 4 Pr 3.44-3.55
15 Ho 0.0297 0.2786 0.0579  1 Dy 3.28, 5 Pr 3.41-3.54, 1 Ho 3.50
16 Ho 0.2786 0.0297 0.5579  1 Dy 3.28, 5 Pr 3.41-3.54, 1 Ho 3.50
17 Ho 0.4780 0.5220 0.2500  3 Pr 3.08-3.42, 2 Dy 3.39
18 Ho 0.5220 0.4780 0.7500  3 Pr 3.08-3.42, 2 Dy 3.39
19 Ho 0.7214 0.9703 0.4421  1 Dy 3.28, 5 Pr 3.41-3.54, 1 Ho 3.50
20 Ho 0.9703 0.7214 0.9421  1 Dy 3.28, 5 Pr 3.41-3.54, 1 Ho 3.50

Model b:
Pr5Dy2Ho3 | PBE | relaxed

Properties
As for the calculated density: 7.05 g/cm³. The volume is 717.88 Å³/cell.

a = 10.0022 Å, b = 10.0022 Å, c = 10.0022 Å
α = 123.47°, β = 93.26°, γ = 113.06°
With the nearest neighbours (Å) after each atom.
Fractional positions:
1 Pr 0.0041 0.7500 0.2541  2 Dy 3.37, 1 Ho 3.38, 3 Pr 3.40-3.49
2 Pr 0.1294 0.1052 0.2346  1 Dy 2.92
3 Pr 0.2500 0.2500 0.0000  6 Pr 3.43-3.49
4 Pr 0.3706 0.6052 0.9758  1 Dy 2.92
5 Pr 0.4959 0.7500 0.7459  2 Dy 3.37, 1 Ho 3.38, 3 Pr 3.40-3.49
6 Pr 0.5041 0.2500 0.2541  2 Dy 3.37, 1 Ho 3.38, 3 Pr 3.40-3.49
7 Pr 0.6294 0.3948 0.0242  1 Dy 2.92
8 Pr 0.7500 0.7500 0.0000  6 Pr 3.43-3.49
9 Pr 0.8706 0.8948 0.7654  1 Dy 2.92
10 Pr 0.9959 0.2500 0.7459  2 Dy 3.37, 1 Ho 3.38, 3 Pr 3.40-3.49
11 Dy 0.1182 0.4134 0.5316  1 Pr 2.92, 1 Ho 3.20
12 Dy 0.3818 0.9134 0.2952  1 Pr 2.92, 1 Ho 3.20
13 Dy 0.6182 0.0866 0.7048  1 Pr 2.92, 1 Ho 3.20
14 Dy 0.8818 0.5866 0.4684  1 Pr 2.92, 1 Ho 3.20
15 Ho 0.1233 0.7513 0.8745  1 Dy 3.20, 1 Pr 3.35
16 Ho 0.2500 0.7500 0.5000  4 Dy 3.30, 2 Pr 3.38
17 Ho 0.3767 0.2513 0.6280  1 Dy 3.20, 1 Pr 3.35
18 Ho 0.6233 0.7487 0.3720  1 Dy 3.20, 1 Pr 3.35
19 Ho 0.7500 0.2500 0.5000  4 Dy 3.30, 2 Pr 3.38
20 Ho 0.8767 0.2487 0.1255  1 Dy 3.20, 1 Pr 3.35

model a is the most stable structure; the next one sits 18.5 kJ/mol of atoms above it.

Model a:
Pr6Dy8Ho | PBE | relaxed

Properties
As for the calculated density: 7.56 g/cm³. The volume is 507.51 Å³/cell.

a = 8.7677 Å, b = 8.7677 Å, c = 8.7677 Å
α = 62.92°, β = 62.92°, γ = 62.92°
With the nearest neighbours (Å) after each atom.
Fractional positions:
1 Pr 0.0379 0.6005 0.7294  4 Dy 3.40-3.72, 1 Ho 3.49, 2 Pr 3.56
2 Pr 0.2706 0.9621 0.3995  4 Dy 3.40-3.72, 1 Ho 3.49, 2 Pr 3.56
3 Pr 0.3995 0.2706 0.9621  4 Dy 3.40-3.72, 1 Ho 3.49, 2 Pr 3.56
4 Pr 0.6005 0.7294 0.0379  4 Dy 3.40-3.72, 1 Ho 3.49, 2 Pr 3.56
5 Pr 0.7294 0.0379 0.6005  4 Dy 3.40-3.72, 1 Ho 3.49, 2 Pr 3.56
6 Pr 0.9621 0.3995 0.2706  4 Dy 3.40-3.72, 1 Ho 3.49, 2 Pr 3.56
7 Dy 0.0769 0.0769 0.0769  4 Dy 3.23-3.45, 3 Pr 3.48
8 Dy 0.2163 0.6125 0.2511  3 Pr 3.40-3.72, 5 Dy 3.45-3.48, 1 Ho 3.56
9 Dy 0.2511 0.2163 0.6125  3 Pr 3.40-3.72, 5 Dy 3.45-3.48, 1 Ho 3.56
10 Dy 0.3875 0.7489 0.7837  3 Pr 3.40-3.72, 5 Dy 3.45-3.48, 1 Ho 3.56
11 Dy 0.6125 0.2511 0.2163  3 Pr 3.40-3.72, 5 Dy 3.45-3.48, 1 Ho 3.56
12 Dy 0.7489 0.7837 0.3875  3 Pr 3.40-3.72, 5 Dy 3.45-3.48, 1 Ho 3.56
13 Dy 0.7837 0.3875 0.7489  3 Pr 3.40-3.72, 5 Dy 3.45-3.48, 1 Ho 3.56
14 Dy 0.9231 0.9231 0.9231  4 Dy 3.23-3.45, 3 Pr 3.48
15 Ho 0.5000 0.5000 0.5000  6 Pr 3.49, 6 Dy 3.56

Model b:
Pr6Dy8Ho | PBE | relaxed

Properties
As for the calculated density: 7.57 g/cm³. The volume is 506.50 Å³/cell.

a = 9.4323 Å, b = 9.4323 Å, c = 6.5737 Å
α = 90.00°, β = 90.00°, γ = 120.00°
With the nearest neighbours (Å) after each atom.
Fractional positions:
1 Pr 0.0345 0.7458 0.3339  5 Dy 3.27-3.57, 2 Pr 3.38, 1 Ho 3.38
2 Pr 0.2542 0.2887 0.3339  5 Dy 3.27-3.57, 2 Pr 3.38, 1 Ho 3.38
3 Pr 0.2887 0.0345 0.6661  5 Dy 3.27-3.57, 2 Pr 3.38, 1 Ho 3.38
4 Pr 0.7113 0.9655 0.3339  5 Dy 3.27-3.57, 2 Pr 3.38, 1 Ho 3.38
5 Pr 0.7458 0.7113 0.6661  5 Dy 3.27-3.57, 2 Pr 3.38, 1 Ho 3.38
6 Pr 0.9655 0.2542 0.6661  5 Dy 3.27-3.57, 2 Pr 3.38, 1 Ho 3.38
7 Dy 0.0949 0.6565 0.8434  1 Dy 3.30, 4 Pr 3.30-3.57
8 Dy 0.3333 0.6667 0.3801  3 Pr 3.27
9 Dy 0.3435 0.4384 0.8434  1 Dy 3.30, 4 Pr 3.30-3.57
10 Dy 0.4384 0.0949 0.1566  1 Dy 3.30, 4 Pr 3.30-3.57
11 Dy 0.5616 0.9051 0.8434  1 Dy 3.30, 4 Pr 3.30-3.57
12 Dy 0.6565 0.5616 0.1566  1 Dy 3.30, 4 Pr 3.30-3.57
13 Dy 0.6667 0.3333 0.6199  3 Pr 3.27
14 Dy 0.9051 0.3435 0.1566  1 Dy 3.30, 4 Pr 3.30-3.57
15 Ho 0.0000 0.0000 0.0000  6 Pr 3.38

model a is the most stable structure; the next one sits 5.9 kJ/mol of atoms above it.

Model a:
PrDy12Ho6 | PBE | relaxed

Properties
As for the calculated density: 7.86 g/cm³. The volume is 650.44 Å³/cell.

a = 9.2930 Å, b = 9.2930 Å, c = 9.2930 Å
α = 107.94°, β = 107.94°, γ = 107.94°
With the nearest neighbours (Å) after each atom.
Fractional positions:
1 Pr 0.0000 0.0000 0.0000  6 Dy 3.52
2 Dy 0.1104 0.5000 0.8896  4 Ho 3.26-3.39, 5 Dy 3.32-3.65
3 Dy 0.1104 0.8896 0.5000  4 Ho 3.26-3.39, 5 Dy 3.32-3.65
4 Dy 0.1551 0.3712 0.3712  1 Ho 3.04, 2 Dy 3.25
5 Dy 0.3712 0.1551 0.3712  1 Ho 3.04, 2 Dy 3.25
6 Dy 0.3712 0.3712 0.1551  1 Ho 3.04, 2 Dy 3.25
7 Dy 0.5000 0.1104 0.8896  4 Ho 3.26-3.39, 5 Dy 3.32-3.65
8 Dy 0.5000 0.8896 0.1104  4 Ho 3.26-3.39, 5 Dy 3.32-3.65
9 Dy 0.6288 0.6288 0.8449  1 Ho 3.04, 2 Dy 3.25
10 Dy 0.6288 0.8449 0.6288  1 Ho 3.04, 2 Dy 3.25
11 Dy 0.8449 0.6288 0.6288  1 Ho 3.04, 2 Dy 3.25
12 Dy 0.8896 0.1104 0.5000  4 Ho 3.26-3.39, 5 Dy 3.32-3.65
13 Dy 0.8896 0.5000 0.1104  4 Ho 3.26-3.39, 5 Dy 3.32-3.65
14 Ho 0.2594 0.6857 0.6857  5 Dy 3.04-3.39
15 Ho 0.3143 0.3143 0.7406  5 Dy 3.04-3.39
16 Ho 0.3143 0.7406 0.3143  5 Dy 3.04-3.39
17 Ho 0.6857 0.2594 0.6857  5 Dy 3.04-3.39
18 Ho 0.6857 0.6857 0.2594  5 Dy 3.04-3.39
19 Ho 0.7406 0.3143 0.3143  5 Dy 3.04-3.39

Model b:
PrDy12Ho6 | PBE | relaxed

Properties
As for the calculated density: 8.31 g/cm³. The volume is 615.20 Å³/cell.

a = 8.5078 Å, b = 8.5078 Å, c = 8.5078 Å
α = 88.50°, β = 88.50°, γ = 88.50°
With the nearest neighbours (Å) after each atom.
Fractional positions:
1 Pr 0.0000 0.0000 0.0000  6 Ho 3.48, 6 Dy 3.56
2 Dy 0.0099 0.2092 0.3563  4 Dy 3.40-3.57, 4 Ho 3.51-3.66, 1 Pr 3.56
3 Dy 0.2092 0.3563 0.0099  4 Dy 3.40-3.57, 4 Ho 3.51-3.66, 1 Pr 3.56
4 Dy 0.2262 0.4568 0.5651  3 Ho 3.25-3.43, 6 Dy 3.27-3.56
5 Dy 0.3563 0.0099 0.2092  4 Dy 3.40-3.57, 4 Ho 3.51-3.66, 1 Pr 3.56
6 Dy 0.4349 0.7738 0.5432  3 Ho 3.25-3.43, 6 Dy 3.27-3.56
7 Dy 0.4568 0.5651 0.2262  3 Ho 3.25-3.43, 6 Dy 3.27-3.56
8 Dy 0.5432 0.4349 0.7738  3 Ho 3.25-3.43, 6 Dy 3.27-3.56
9 Dy 0.5651 0.2262 0.4568  3 Ho 3.25-3.43, 6 Dy 3.27-3.56
10 Dy 0.6437 0.9901 0.7908  4 Dy 3.40-3.57, 4 Ho 3.51-3.66, 1 Pr 3.56
11 Dy 0.7738 0.5432 0.4349  3 Ho 3.25-3.43, 6 Dy 3.27-3.56
12 Dy 0.7908 0.6437 0.9901  4 Dy 3.40-3.57, 4 Ho 3.51-3.66, 1 Pr 3.56
13 Dy 0.9901 0.7908 0.6437  4 Dy 3.40-3.57, 4 Ho 3.51-3.66, 1 Pr 3.56
14 Ho 0.0930 0.6878 0.2571  6 Dy 3.25-3.59, 1 Pr 3.48, 2 Ho 3.50
15 Ho 0.2571 0.0930 0.6878  6 Dy 3.25-3.59, 1 Pr 3.48, 2 Ho 3.50
16 Ho 0.3122 0.7429 0.9070  6 Dy 3.25-3.59, 1 Pr 3.48, 2 Ho 3.50
17 Ho 0.6878 0.2571 0.0930  6 Dy 3.25-3.59, 1 Pr 3.48, 2 Ho 3.50
18 Ho 0.7429 0.9070 0.3122  6 Dy 3.25-3.59, 1 Pr 3.48, 2 Ho 3.50
19 Ho 0.9070 0.3122 0.7429  6 Dy 3.25-3.59, 1 Pr 3.48, 2 Ho 3.50

model b is the most stable structure; the next one sits 27.0 kJ/mol of atoms above it.